Run P
## Ag2C (PBE)

Data for a relaxed Ag2C crystal.

The structure in CIF format:
```
data_Ag2C
_chemical_formula_sum 'Ag8 C4'
_cell_length_a 18.9630
_cell_length_b 5.0761
_cell_length_c 2.6535
_cell_angle_alpha 90.00
_cell_angle_beta 90.00
_cell_angle_gamma 90.00
_space_group_name_H-M_alt 'C m c m'
_space_group_IT_number 63
_space_group_name_Hall '-C 2c 2'
loop_
_atom_site_label
_atom_site_type_symbol
_atom_site_fract_x
_atom_site_fract_y
_atom_site_fract_z
Ag1 Ag 0.1806 0.2503 0.2500
C1 C 0.0000 0.0001 0.2500
```

***

Run Q
## Ag2C (PBE)

Data for a relaxed Ag2C crystal.

The structure in CIF format:
```
data_Ag2C
_chemical_formula_sum 'Ag4 C2'
_cell_length_a 2.9222
_cell_length_b 2.9222
_cell_length_c 9.9892
_cell_angle_alpha 90.00
_cell_angle_beta 90.00
_cell_angle_gamma 90.00
_space_group_name_H-M_alt 'I 4/m m m'
_space_group_IT_number 139
_space_group_name_Hall '-I 4 2'
loop_
_atom_site_label
_atom_site_type_symbol
_atom_site_fract_x
_atom_site_fract_y
_atom_site_fract_z
Ag1 Ag 0.0000 0.0000 0.1412
C1 C 0.0000 0.0000 0.5000
```

***

Short version: run Q is the least stable of them.

***

Run P
## Fe2OsPt (PBE)

Data for a relaxed Fe2OsPt crystal.

The structure in CIF format:
```
data_Fe2OsPt
_chemical_formula_sum 'Fe4 Os2 Pt2'
_cell_length_a 4.0088
_cell_length_b 2.6651
_cell_length_c 9.8800
_cell_angle_alpha 90.00
_cell_angle_beta 90.00
_cell_angle_gamma 90.00
_space_group_name_H-M_alt 'A m m 2'
_space_group_IT_number 38
loop_
_space_group_symop_operation_xyz
'x,y,z'
'-x,-y,z'
'-x,y,z'
'x,-y,z'
'x,y+1/2,z+1/2'
'-x,-y+1/2,z+1/2'
'-x,y+1/2,z+1/2'
'x,-y+1/2,z+1/2'
loop_
_atom_site_label
_atom_site_type_symbol
_atom_site_fract_x
_atom_site_fract_y
_atom_site_fract_z
Fe1 Fe 0.0000 0.0000 0.0000
Fe2 Fe 0.5000 0.0000 0.1287
Os1 Os 0.0000 0.0000 0.7299
Pt1 Pt 0.5000 0.0000 0.3870
```

***

Run Q
## Fe2OsPt (PBE)

Data for a relaxed Fe2OsPt crystal.

The structure in CIF format:
```
data_Fe2OsPt
_chemical_formula_sum 'Fe4 Os2 Pt2'
_cell_length_a 5.3741
_cell_length_b 8.7962
_cell_length_c 2.6159
_cell_angle_alpha 90.00
_cell_angle_beta 115.75
_cell_angle_gamma 90.00
_space_group_name_H-M_alt 'C 1 2/m 1'
_space_group_IT_number 12
loop_
_space_group_symop_operation_xyz
'x,y,z'
'-x,-y,-z'
'-x,y,-z'
'x,-y,z'
'x+1/2,y+1/2,z'
'-x+1/2,-y+1/2,-z'
'-x+1/2,y+1/2,-z'
'x+1/2,-y+1/2,z'
loop_
_atom_site_label
_atom_site_type_symbol
_atom_site_fract_x
_atom_site_fract_y
_atom_site_fract_z
Fe1 Fe 0.2500 0.2500 0.0000
Os1 Os 0.0000 0.0000 0.5000
Pt1 Pt 0.0000 0.5000 0.5000
```

***

Short version: run Q is the least stable of them.

***

Run P
## Ba2AlTl (PBE)

Data for a relaxed Ba2AlTl crystal.

The structure in CIF format:
```
data_Ba2AlTl
_chemical_formula_sum 'Ba8 Al4 Tl4'
_cell_length_a 9.4255
_cell_length_b 9.4255
_cell_length_c 7.6693
_cell_angle_alpha 90.00
_cell_angle_beta 90.00
_cell_angle_gamma 90.00
_space_group_name_H-M_alt 'I -4 2 d'
_space_group_IT_number 122
_space_group_name_Hall 'I -4 2bw'
loop_
_atom_site_label
_atom_site_type_symbol
_atom_site_fract_x
_atom_site_fract_y
_atom_site_fract_z
Ba1 Ba 0.2391 0.7500 0.1250
Al1 Al 0.0000 0.0000 0.0000
Tl1 Tl 0.0000 0.0000 0.5000
```

***

Run Q
## Ba2AlTl (PBE)

Data for a relaxed Ba2AlTl crystal.

The structure in CIF format:
```
data_Ba2AlTl
_chemical_formula_sum 'Ba6 Al3 Tl3'
_cell_length_a 4.2413
_cell_length_b 4.2413
_cell_length_c 32.0641
_cell_angle_alpha 90.00
_cell_angle_beta 90.00
_cell_angle_gamma 120.00
_space_group_name_H-M_alt 'R -3 m'
_space_group_IT_number 166
_space_group_name_Hall '-R 3 2"'
loop_
_atom_site_label
_atom_site_type_symbol
_atom_site_fract_x
_atom_site_fract_y
_atom_site_fract_z
Ba1 Ba 0.0000 0.0000 0.2465
Al1 Al 0.0000 0.0000 0.5000
Tl1 Tl 0.0000 0.0000 0.0000
```

***

Short version: run P is the least stable of them.

***

Run P
## CaSeBrF (PBE)

Data for a relaxed CaSeBrF crystal.

The structure in CIF format:
```
data_CaSeBrF
_chemical_formula_sum 'Ca2 Se2 Br2 F2'
_cell_length_a 7.4466
_cell_length_b 4.0809
_cell_length_c 6.2942
_cell_angle_alpha 90.00
_cell_angle_beta 90.70
_cell_angle_gamma 90.00
_space_group_name_H-M_alt 'C 1 m 1'
_space_group_IT_number 8
loop_
_space_group_symop_operation_xyz
'x,y,z'
'x,-y,z'
'x+1/2,y+1/2,z'
'x+1/2,-y+1/2,z'
loop_
_atom_site_label
_atom_site_type_symbol
_atom_site_fract_x
_atom_site_fract_y
_atom_site_fract_z
Ca1 Ca 0.0000 0.0000 0.0000
Se1 Se 0.4712 0.0000 0.6689
Br1 Br 0.1453 0.5000 0.3453
F1 F 0.3117 0.0000 0.0046
```

***

Run Q
## CaSeBrF (PBE)

Data for a relaxed CaSeBrF crystal.

The structure in CIF format:
```
data_CaSeBrF
_chemical_formula_sum 'Ca2 Se2 Br2 F2'
_cell_length_a 9.5415
_cell_length_b 4.2318
_cell_length_c 6.3140
_cell_angle_alpha 90.00
_cell_angle_beta 122.66
_cell_angle_gamma 90.00
_space_group_name_H-M_alt 'C 1 m 1'
_space_group_IT_number 8
loop_
_space_group_symop_operation_xyz
'x,y,z'
'x,-y,z'
'x+1/2,y+1/2,z'
'x+1/2,-y+1/2,z'
loop_
_atom_site_label
_atom_site_type_symbol
_atom_site_fract_x
_atom_site_fract_y
_atom_site_fract_z
Ca1 Ca 0.0000 0.0000 0.0000
Se1 Se 0.2680 0.5000 0.1820
Br1 Br 0.0531 0.0000 0.5340
F1 F 0.4453 0.0000 0.8758
```

***

Short version: run P is the least stable of them.

***

Run P
## Rh2WBr (PBE)

Data for a relaxed Rh2WBr crystal.

The structure in CIF format:
```
data_Rh2WBr
_chemical_formula_sum 'Rh2 W1 Br1'
_cell_length_a 2.8762
_cell_length_b 2.8762
_cell_length_c 8.0832
_cell_angle_alpha 90.00
_cell_angle_beta 90.00
_cell_angle_gamma 90.00
_space_group_name_H-M_alt 'P 4/m m m'
_space_group_IT_number 123
_space_group_name_Hall '-P 4 2'
loop_
_atom_site_label
_atom_site_type_symbol
_atom_site_fract_x
_atom_site_fract_y
_atom_site_fract_z
Rh1 Rh 0.0000 0.0000 0.2215
W1 W 0.5000 0.5000 0.0000
Br1 Br 0.5000 0.5000 0.5000
```

***

Run Q
## Rh2WBr (PBE)

Data for a relaxed Rh2WBr crystal.

The structure in CIF format:
```
data_Rh2WBr
_chemical_formula_sum 'Rh2 W1 Br1'
_cell_length_a 4.7897
_cell_length_b 4.7897
_cell_length_c 2.8355
_cell_angle_alpha 90.00
_cell_angle_beta 90.00
_cell_angle_gamma 90.00
_space_group_name_H-M_alt 'P 4/m m m'
_space_group_IT_number 123
_space_group_name_Hall '-P 4 2'
loop_
_atom_site_label
_atom_site_type_symbol
_atom_site_fract_x
_atom_site_fract_y
_atom_site_fract_z
Rh1 Rh 0.0000 0.5000 0.0000
W1 W 0.0000 0.0000 0.5000
Br1 Br 0.5000 0.5000 0.5000
```

***

Short version: run Q is the least stable of them.

***

Run P
## Hg2OsRh (PBE)

Data for a relaxed Hg2OsRh crystal.

The structure in CIF format:
```
data_Hg2OsRh
_chemical_formula_sum 'Hg4 Os2 Rh2'
_cell_length_a 4.1610
_cell_length_b 4.1610
_cell_length_c 8.0212
_cell_angle_alpha 90.00
_cell_angle_beta 90.00
_cell_angle_gamma 90.00
_space_group_name_H-M_alt 'I -4 m 2'
_space_group_IT_number 119
_space_group_name_Hall 'I -4 -2'
loop_
_atom_site_label
_atom_site_type_symbol
_atom_site_fract_x
_atom_site_fract_y
_atom_site_fract_z
Hg1 Hg 0.0000 0.0000 0.0000
Hg2 Hg 0.0000 0.5000 0.2500
Os1 Os 0.0000 0.5000 0.7500
Rh1 Rh 0.0000 0.0000 0.5000
```

***

Run Q
## Hg2OsRh (PBE)

Data for a relaxed Hg2OsRh crystal.

The structure in CIF format:
```
data_Hg2OsRh
_chemical_formula_sum 'Hg4 Os2 Rh2'
_cell_length_a 2.8549
_cell_length_b 2.9133
_cell_length_c 17.4066
_cell_angle_alpha 90.00
_cell_angle_beta 90.00
_cell_angle_gamma 90.00
_space_group_name_H-M_alt 'A m m 2'
_space_group_IT_number 38
loop_
_space_group_symop_operation_xyz
'x,y,z'
'-x,-y,z'
'-x,y,z'
'x,-y,z'
'x,y+1/2,z+1/2'
'-x,-y+1/2,z+1/2'
'-x,y+1/2,z+1/2'
'x,-y+1/2,z+1/2'
loop_
_atom_site_label
_atom_site_type_symbol
_atom_site_fract_x
_atom_site_fract_y
_atom_site_fract_z
Hg1 Hg 0.0000 0.0000 0.0000
Hg2 Hg 0.5000 0.0000 0.1561
Os1 Os 0.5000 0.0000 0.3743
Rh1 Rh 0.0000 0.0000 0.7804
```

***

Short version: run P is the least stable of them.